No. 1
# GdTcGe

An optimized crystal structure of GdTcGe (GGA-PBE, Alexandria via LeMat-Bulk).

Cell and atoms, written as extended XYZ:
```
3
Lattice="3.7753 0.0000 0.0000 0.0000 4.3421 0.0000 0.0000 -2.1711 3.7604" Properties=species:S:1:pos:R:3 pbc="T T T"
Ge 0.6296 0.0000 0.0000
Tc 0.6292 0.0000 2.5069
Gd 2.5165 2.1711 1.2535
```

Computed properties:
Its space group is P-6m2 (187). For the formation enthalpy at 0 K, the calculation gives -7.52 kcal/mol of atoms.

***

No. 2
# GdGeTe2

An optimized crystal structure of GdGeTe2 (GGA-PBE, Alexandria via LeMat-Bulk).

Cell and atoms, written as extended XYZ:
```
4
Lattice="-3.6970 1.7125 1.7262 -0.6779 -0.1517 4.3701 1.7591 6.7450 2.7473" Properties=species:S:1:pos:R:3 pbc="T T T"
Gd -1.3079 4.1529 4.4218
Te -1.9114 6.3271 6.6438
Ge 0.0000 0.0000 0.0000
Te -0.7044 1.9788 2.1997
```

Computed properties:
As for the formation energy without anion corrections: -2.54 eV per formula unit. Its space group is R-3m (166).

***

No. 3
# GdThGe2

An optimized crystal structure of GdThGe2 (GGA-PBE, Alexandria via LeMat-Bulk).

Cell and atoms, written as extended XYZ:
```
4
Lattice="-1.4156 2.8819 0.0614 -4.9106 -2.4036 -0.4009 -0.3138 -0.2707 5.4663" Properties=species:S:1:pos:R:3 pbc="T T T"
Ge -0.1569 -0.1353 2.7331
Th -0.7078 1.4409 0.0307
Ge -2.4553 -1.2018 -0.2004
Gd -3.3200 0.1038 2.5634
```

Computed properties:
Its space group is P4/mmm (123). As for the offset from the most stable computed form: 0.075 eV per atom. For the formation enthalpy at 0 K, the calculation gives -14.68 kcal/mol of atoms.

***

No. 4
# Gd2ThGe

An optimized crystal structure of Gd2ThGe (GGA-PBE, Alexandria via LeMat-Bulk).

Cell and atoms, written as extended XYZ:
```
4
Lattice="-2.6530 2.6325 0.8235 -2.4426 -2.7730 0.9953 2.4781 0.3179 6.9673" Properties=species:S:1:pos:R:3 pbc="T T T"
Gd 1.9725 0.2530 5.5457
Gd 0.5057 0.0649 1.4217
Ge -2.5478 -0.0703 0.9094
Th -1.3088 0.0887 4.3931
```

Computed properties:
Its space group is P4/mmm (123). As for the offset from the most stable computed form: 0.000 eV per atom. For the formation enthalpy at 0 K, the calculation gives -7.44 kcal/mol of atoms.

***

No. 5
# GdThGe4

An optimized crystal structure of GdThGe4 (GGA-PBE, Alexandria via LeMat-Bulk).

Cell and atoms, written as extended XYZ:
```
6
Lattice="5.6729 0.0000 0.0000 2.8365 4.9129 0.0000 2.8365 1.6376 4.6319" Properties=species:S:1:pos:R:3 pbc="T T T"
Th 2.8365 1.6376 1.1580
Ge 7.1030 4.1009 2.8998
Gd 0.0000 0.0000 0.0000
Ge 5.6729 1.6239 2.8998
Ge 5.6729 3.2753 0.5644
Ge 4.2428 4.1009 2.8998
```

Computed properties:
Its space group is F-43m (216). For the formation enthalpy at 0 K, the calculation gives -7.41 kcal/mol of atoms.

***

No. 6
# GdThGe2

An optimized crystal structure of GdThGe2 (GGA-PBE, Alexandria via LeMat-Bulk).

Cell and atoms, written as extended XYZ:
```
4
Lattice="-2.1348 -3.6037 -0.7675 -0.7369 -2.7532 3.1638 -6.9115 1.1061 2.2184" Properties=species:S:1:pos:R:3 pbc="T T T"
Gd -4.8916 -2.6254 2.3073
Ge -2.4737 -1.2976 1.1603
Th 0.0000 0.0000 0.0000
Ge -7.3096 -3.9532 3.4543
```

Computed properties:
Its space group is R-3m (166). As for the offset from the most stable computed form: 0.000 eV per atom. For the formation enthalpy at 0 K, the calculation gives -16.40 kcal/mol of atoms.

***

No. 7
# Gd2ThGe

An optimized crystal structure of Gd2ThGe (GGA-PBE, Alexandria via LeMat-Bulk).

Cell and atoms, written as extended XYZ:
```
4
Lattice="-1.2015 -4.6216 0.3133 1.8024 -0.1729 4.3625 -4.2018 1.2133 1.7841" Properties=species:S:1:pos:R:3 pbc="T T T"
Ge -0.6008 -2.3108 0.1566
Gd 0.9012 -0.0864 2.1812
Gd -2.1009 0.6067 0.8921
Th -1.8004 -1.7906 3.2299
```

Computed properties:
Its space group is P4/mmm (123). As for the offset from the most stable computed form: 0.025 eV per atom. For the formation enthalpy at 0 K, the calculation gives -6.87 kcal/mol of atoms.

***

No. 8
# GdThZnGe

An optimized crystal structure of GdThZnGe (GGA-PBE, Alexandria via LeMat-Bulk).

Cell and atoms, written as extended XYZ:
```
4
Lattice="-1.8671 4.0087 2.6320 -1.0036 -0.4642 5.0259 2.9580 2.4167 3.4485" Properties=species:S:1:pos:R:3 pbc="T T T"
Zn 0.0655 4.4709 8.3298
Th 0.0000 0.0000 0.0000
Gd 0.0437 2.9806 5.5532
Ge 0.0218 1.4903 2.7766
```

Computed properties:
Its space group is F-43m (216). For the formation enthalpy at 0 K, the calculation gives -9.83 kcal/mol of atoms.

***

No. 9
# GdTlGe2

An optimized crystal structure of GdTlGe2 (GGA-PBE, Alexandria via LeMat-Bulk).

Cell and atoms, written as extended XYZ:
```
4
Lattice="-1.1990 1.8939 3.5707 -0.9785 -4.1386 1.8665 4.3437 -0.2979 1.6166" Properties=species:S:1:pos:R:3 pbc="T T T"
Ge 2.1718 -0.1489 0.8083
Gd 1.0831 -1.2713 3.5269
Ge -0.4892 -2.0693 0.9333
Tl -0.5995 0.9469 1.7853
```

Computed properties:
Its space group is P4/mmm (123). For the formation enthalpy at 0 K, the calculation gives -7.54 kcal/mol of atoms.

***

No. 10
# Gd2TlGe

An optimized crystal structure of Gd2TlGe (GGA-PBE, Alexandria via LeMat-Bulk).

Cell and atoms, written as extended XYZ:
```
4
Lattice="-2.0748 0.2935 3.2360 3.1589 -0.7174 2.0904 1.3657 6.7743 0.2612" Properties=species:S:1:pos:R:3 pbc="T T T"
Ge 0.5420 -0.2120 2.6632
Gd 1.0585 5.2502 0.2024
Tl 1.2249 3.1752 2.7938
Gd 0.3072 1.5240 0.0588
```

Computed properties:
Its space group is P4/mmm (123). For the formation enthalpy at 0 K, the calculation gives -12.11 kcal/mol of atoms.

***

No. 11
# Gd2TlGe

An optimized crystal structure of Gd2TlGe (GGA-PBE, Alexandria via LeMat-Bulk).

Cell and atoms, written as extended XYZ:
```
4
Lattice="-0.5581 -2.8299 -2.9861 2.9832 -0.6701 -2.8087 3.9560 -6.7107 2.7342" Properties=species:S:1:pos:R:3 pbc="T T T"
Gd 4.9263 -7.9056 -2.0871
Gd 1.4547 -2.3051 -0.9735
Ge 0.0000 0.0000 0.0000
Tl 3.1905 -5.1054 -1.5303
```

Computed properties:
Its space group is R-3m (166). For the formation enthalpy at 0 K, the calculation gives -11.12 kcal/mol of atoms.

***

No. 12
# GdTlGe

An optimized crystal structure of GdTlGe (GGA-PBE, Alexandria via LeMat-Bulk).

Cell and atoms, written as extended XYZ:
```
3
Lattice="3.6435 0.0000 0.0000 0.0000 3.6435 0.0000 -1.8217 -1.8217 5.6431" Properties=species:S:1:pos:R:3 pbc="T T T"
Gd 1.8217 1.8217 1.4425
Ge 0.0000 0.0000 3.2727
Tl 1.8217 1.8217 4.8781
```

Computed properties:
Its space group is I4mm (107). As for the offset from the most stable computed form: 0.155 eV per atom. For the formation enthalpy at 0 K, the calculation gives -5.29 kcal/mol of atoms.

***

D(E_F) for the records above, in order: 0.951 1.383 0.655 1.567 0.872 0.793 1.028 0.815 0.540 1.074 0.993 0.778 states/eV/atom